# 1
Material: Sm7HgS5
Method: DFT, PBE
State: optimized geometry

a = 4.034 Å, b = 6.935 Å, c = 24.192 Å
α = 89.98°, β = 90.00°, γ = 73.16°
Space group P-1 (No. 2)
Asymmetric unit:
Sm  0.025  0.450  0.250 [2 per cell]
Sm  0.135  0.229  0.964 [2 per cell]
Sm  0.136  0.228  0.536 [2 per cell]
Sm  0.322  0.856  0.328 [2 per cell]
Sm  0.323  0.854  0.172 [2 per cell]
Sm  0.410  0.680  0.893 [2 per cell]
Sm  0.411  0.678  0.607 [2 per cell]
Hg  0.294  0.910  0.750 [2 per cell]
S  0.044  0.412  0.641 [2 per cell]
S  0.044  0.412  0.859 [2 per cell]
S  0.227  0.046  0.430 [2 per cell]
S  0.227  0.047  0.070 [2 per cell]
S  0.500  0.500  0.000 [1 per cell]
S  0.500  0.500  0.500 [1 per cell]

## Properties
Mass density ... 7.25 g cm⁻³
M_tot ... 0.000 μB/atom
Raw formation energy ... -1.65 eV per atom

***

# 2
Material: Sm3HgS2
Method: DFT, PBE
State: optimized geometry

a = 4.725 Å, b = 12.972 Å, c = 10.212 Å
α = 90.00°, β = 90.00°, γ = 90.00°
Space group Cmcm (No. 63)
Asymmetric unit:
Sm  0.000  0.104  0.250 [4 per cell]
Sm  0.000  0.366  0.054 [8 per cell]
Hg  0.000  0.229  0.750 [4 per cell]
S  0.000  0.000  0.000 [4 per cell]
S  0.000  0.488  0.750 [4 per cell]

## Properties
Mass density ... 7.60 g cm⁻³
M_tot ... 0.000 μB/atom
Raw formation energy ... -1.24 eV per atom